(1)
K2SrPt | GGA-PBE | optimized geometry

a b c (Å): 5.563 5.570 11.298
angles (deg): 90.00 90.00 90.00
Space group Cmm2 (No. 35)
Symmetry-distinct sites (fractional):
K 0.000 0.000 0.000 [2 per cell]
K 0.000 0.500 0.362 [2 per cell]
Sr 0.000 0.000 0.691 [2 per cell]
Pt 0.000 0.500 0.806 [2 per cell]

Values from the calculation:
* D(E_F): 0.468 states/eV per atom

***

(2)
KSrPt2 | GGA-PBE | optimized geometry

a b c (Å): 4.724 4.724 8.553
angles (deg): 90.00 90.00 90.00
Space group I4/mmm (No. 139)
Symmetry-distinct sites (fractional):
K 0.000 0.000 0.000 [2 per cell]
Sr 0.000 0.000 0.500 [2 per cell]
Pt 0.000 0.500 0.250 [4 per cell]

Values from the calculation:
* D(E_F): 0.431 states/eV per atom

***

(3)
K2SrPt2 | GGA-PBE | optimized geometry

a b c (Å): 7.732 7.732 5.265
angles (deg): 90.00 90.00 90.00
Space group P4/mbm (No. 127)
Symmetry-distinct sites (fractional):
K 0.158 0.342 0.000 [4 per cell]
Sr 0.000 0.000 0.500 [2 per cell]
Pt 0.120 0.620 0.500 [4 per cell]

Values from the calculation:
* D(E_F): 0.326 states/eV per atom

***

(4)
KSr2Pt | GGA-PBE | optimized geometry

a b c (Å): 4.491 6.048 13.876
angles (deg): 90.00 90.00 90.00
Space group Amm2 (No. 38)
Symmetry-distinct sites (fractional):
K 0.000 0.000 0.000 [2 per cell]
Sr 0.000 0.000 0.301 [2 per cell]
Sr 0.500 0.000 0.661 [2 per cell]
Pt 0.500 0.000 0.167 [2 per cell]

Values from the calculation:
* D(E_F): 0.517 states/eV per atom

***

(5)
KSrPt2 | GGA-PBE | optimized geometry

a b c (Å): 4.4419 4.4419 25.3036
angles (deg): 90.00 90.00 120.00
Space group R3m (No. 160, hexagonal axes)
Symmetry-distinct sites (fractional):
K 0.0000 0.0000 0.0000 [3 per cell]
Sr 0.0000 0.0000 0.1649 [3 per cell]
Pt 0.0000 0.0000 0.4248 [3 per cell]
Pt 0.0000 0.0000 0.7582 [3 per cell]

Values from the calculation:
* D(E_F): 0.290 states/eV per atom

***

(6)
K2SrPt | GGA-PBE | optimized geometry

a b c (Å): 5.699 5.699 8.089
angles (deg): 90.00 90.00 90.00
Space group I-4m2 (No. 119)
Symmetry-distinct sites (fractional):
K 0.000 0.000 0.000 [2 per cell]
K 0.000 0.500 0.250 [2 per cell]
Sr 0.000 0.000 0.500 [2 per cell]
Pt 0.000 0.500 0.750 [2 per cell]

Values from the calculation:
* D(E_F): 0.235 states/eV per atom

***

Number 1: energy of formation -21 kJ/mol of atoms, magnetization 0.00 μB per formula unit, density 3.42 g/cm3. Number 2: energy of formation -16 kJ/mol of atoms, magnetization 0.00 μB per formula unit, density 9.00 g/cm3. Number 3: energy of formation -12 kJ/mol of atoms, magnetization 0.06 μB per formula unit, density 5.87 g/cm3. Number 4: energy of formation -28 kJ/mol of atoms, magnetization 0.00 μB per formula unit, density 3.61 g/cm3. Number 5: energy of formation -45 kJ/mol of atoms, magnetization 0.00 μB per formula unit, density 5.96 g/cm3. Number 6: energy of formation 1 kJ/mol of atoms, magnetization 0.00 μB per formula unit, density 4.56 g/cm3.